Material: TmTcSn4
Method: DFT, PBE
State: optimized geometry

Cell lengths 6.8985, 6.8985, 11.9888 Å; angles 90.00, 90.00, 90.00 degrees
Last column: nearest neighbours and their distance in Å.
Space group I4/mcm (No. 140)
Unique sites:
Tm (0.0000, 0.0000, 0.0000) (multiplicity 4)  2 Tc 3.00, 8 Sn 3.15
Tc (0.0000, 0.0000, 0.2500) (multiplicity 4)  8 Sn 2.89, 2 Tm 3.00
Sn (0.1539, 0.3461, 0.1468) (multiplicity 16)  2 Tc 2.89, 2 Sn 3.00-3.10, 2 Tm 3.15

Summary:
N(E_F): 1.36 states/eV/f.u.
formation energy from the elements: -0.291 eV/atom
magnetization: 0.000 μB/cell